Compound: NiOs3O
Source: the Alexandria database
Functional: PBE with a Hubbard U
Structure: optimized geometry

Cell and atoms, written as POSCAR:
```
NiOs3O
1.0
4.0395 0.0000 0.0000
0.0000 4.0395 0.0000
0.0000 0.0000 4.0395
Os Ni O
3 1 1
direct
0.0000 0.5000 0.0000 Os
0.5000 0.0000 0.0000 Os
0.0000 0.0000 0.5000 Os
0.5000 0.5000 0.5000 Ni
0.0000 0.0000 0.0000 O
```

Results
space-group type: Pm-3m (221)
E_tot: -7.02 eV/atom
distance to the lowest polymorph of the same formula: 0 meV per atom
DOS(E_F): 4.89 states/eV/f.u.